No. 1
A plane-wave DFT calculation with PBE was carried out for a geometry-optimized Mn2Rh2Br structure.

Results
- E_form (uncorrected) (eV/atom) = 0.5740
- polymorph energy (0 for the lowest one) (eV per formula unit) = 1.29
- total DFT energy (no corrections) (eV/cell) = -63.7

a b c (Å): 7.293 7.293 2.743
angles (deg): 90.00 90.00 90.00
Fractional positions:
Mn1 0.166 0.334 0.000
Mn2 0.334 0.834 0.000
Mn3 0.666 0.166 0.000
Mn4 0.834 0.666 0.000
Rh1 0.127 0.627 0.500
Rh2 0.373 0.127 0.500
Rh3 0.627 0.873 0.500
Rh4 0.873 0.373 0.500
Br1 0.000 0.000 0.000
Br2 0.500 0.500 0.000



No. 2
A plane-wave DFT calculation with PBE was carried out for a geometry-optimized CaPu6 structure.

Results
- ΔE_f (eV per atom) = 0.183
- total DFT energy (no corrections) (eV/cell) = -86.7

a b c (Å): 5.807 5.807 5.807
angles (deg): 109.47 109.47 109.47
Fractional positions:
Ca1 0.000 0.000 0.000
Pu1 0.250 0.500 0.750
Pu2 0.250 0.750 0.500
Pu3 0.500 0.250 0.750
Pu4 0.500 0.750 0.250
Pu5 0.750 0.250 0.500
Pu6 0.750 0.500 0.250



No. 3
A plane-wave DFT calculation with PBE was carried out for a geometry-optimized Tc3BiW structure.

Results
- ΔE_f (eV per atom) = 1.537
- polymorph energy (0 for the lowest one) (eV per formula unit) = 0.00
- total DFT energy (no corrections) (eV/cell) = -40.2

a b c (Å): 4.773 4.773 4.773
angles (deg): 90.00 90.00 90.00
Fractional positions:
Tc1 0.000 0.000 0.500
Tc2 0.000 0.500 0.000
Tc3 0.500 0.000 0.000
Bi1 0.500 0.500 0.500
W1 0.000 0.000 0.000



No. 4
A plane-wave DFT calculation with PBE was carried out for a geometry-optimized BaSiW2 structure.

Results
- E_form (uncorrected) (eV/atom) = 1.1551
- polymorph energy (0 for the lowest one) (eV per formula unit) = 2.96
- total DFT energy (no corrections) (eV/cell) = -28.6

a b c (Å): 6.089 6.089 6.089
angles (deg): 150.65 121.20 67.07
Fractional positions:
Ba1 0.000 0.000 0.000
Si1 0.284 0.784 0.500
W1 0.497 0.497 0.000
W2 0.688 0.188 0.500



No. 5
A plane-wave DFT calculation with PBE was carried out for a geometry-optimized Tm6CoSe5 structure.

Results
- E_form (uncorrected) (eV/atom) = -1.4862
- total DFT energy (no corrections) (eV/cell) = -69.2

a b c (Å): 7.023 7.023 6.993
angles (deg): 99.75 99.75 119.94
Fractional positions:
Tm1 0.074 0.375 0.727
Tm2 0.222 0.222 0.268
Tm3 0.375 0.074 0.727
Tm4 0.625 0.926 0.273
Tm5 0.778 0.778 0.732
Tm6 0.926 0.625 0.273
Co1 0.000 0.000 0.500
Se1 0.179 0.821 0.000
Se2 0.335 0.665 0.500
Se3 0.500 0.500 0.000
Se4 0.665 0.335 0.500
Se5 0.821 0.179 0.000



No. 6
A plane-wave DFT calculation with PBE was carried out for a geometry-optimized CsSrIn2Pt structure.

Results
- ΔE_f (eV per atom) = -0.246
- total DFT energy (no corrections) (eV/cell) = -15.3

a b c (Å): 5.663 5.663 6.111
angles (deg): 90.00 90.00 90.00
Fractional positions:
Cs1 0.000 0.000 0.000
Sr1 0.500 0.500 0.000
In1 0.000 0.500 0.500
In2 0.500 0.000 0.500
Pt1 0.500 0.500 0.500



No. 7
A plane-wave DFT calculation with PBE was carried out for a geometry-optimized Tb6Sm2Ho3Th structure.

Results
- ΔE_f (eV per atom) = 0.028
- total DFT energy (no corrections) (eV/cell) = -58.0

a b c (Å): 6.179 6.179 11.815
angles (deg): 94.98 94.98 119.95
Fractional positions:
Tb1 0.084 0.414 0.751
Tb2 0.245 0.245 0.249
Tb3 0.414 0.084 0.751
Tb4 0.586 0.916 0.249
Tb5 0.755 0.755 0.751
Tb6 0.916 0.586 0.249
Sm1 0.333 0.667 0.500
Sm2 0.667 0.333 0.500
Ho1 0.167 0.833 0.000
Ho2 0.500 0.500 0.000
Ho3 0.833 0.167 0.000
Th1 0.000 0.000 0.500



No. 8
A plane-wave DFT calculation with PBE was carried out for a geometry-optimized KCaBiCl6 structure.

Results
- E_form (uncorrected) (eV/atom) = -1.7127
- total DFT energy (no corrections) (eV/cell) = -66.9

a b c (Å): 7.176 7.176 13.708
angles (deg): 90.00 90.00 120.00
Fractional positions:
K1 0.000 0.000 0.000
K2 0.000 0.000 0.500
Ca1 0.333 0.667 0.250
Ca2 0.667 0.333 0.750
Bi1 0.333 0.667 0.750
Bi2 0.667 0.333 0.250
Cl1 0.002 0.368 0.638
Cl2 0.002 0.635 0.862
Cl3 0.365 0.368 0.862
Cl4 0.365 0.998 0.638
Cl5 0.368 0.002 0.138
Cl6 0.368 0.365 0.362
Cl7 0.632 0.635 0.638
Cl8 0.632 0.998 0.862
Cl9 0.635 0.002 0.362
Cl10 0.635 0.632 0.138
Cl11 0.998 0.365 0.138
Cl12 0.998 0.632 0.362



Q: The highest total DFT energy (no corrections) belongs to which entry?
A: CsSrIn2Pt